Computed, not measured: an optimized crystal structure of K2Li3Tl12Pb at the PBE-GGA level of DFT.

Lattice parameters (Å, degrees): 11.1408 11.1408 15.5204 90.00 90.00 120.00
Space group R-3m (No. 166, hexagonal axes)
Asymmetric unit:
K1 0.0000 0.0000 0.1063 [6 per cell]
Li1 0.0000 0.5000 0.0000 [9 per cell]
Tl1 0.0042 0.5021 0.2026 [18 per cell]
Tl2 0.0726 0.5363 0.4005 [18 per cell]
Pb1 0.0000 0.0000 0.5000 [3 per cell]

Computed, not measured: an optimized crystal structure of KLi2Pd2 at the PBE-GGA level of DFT.

Lattice parameters (Å, degrees): 4.5856 4.5856 10.0125 90.00 90.00 90.00
Space group I4/mmm (No. 139)
Asymmetric unit:
K1 0.0000 0.0000 0.0000 [2 per cell]
Li1 0.0000 0.5000 0.2500 [4 per cell]
Pd1 0.0000 0.0000 0.3668 [4 per cell]

Electronic total energy, record by record: -2.23; -3.14 eV per atom
E_form, record by record: -0.003; -0.078 eV/atom